{"formula": "Dy3TmZr", "functional": "PBE", "state": "optimized geometry", "e_above_lowest_polymorph_mev_per_atom": 14, "n_ef_per_ev_atom": 1.36, "magmom_total_mub_per_fu": 0.00, "formation_energy_ev_per_atom": 0.0642, "vol_a3_per_cell": 291.43, "total_energy_ev_per_atom": -5.301, "lattice": [[3.444, 0.001, -0.001], [-1.719, 8.913, -1.079], [-0.006, -1.549, 9.680]], "species": ["Tm", "Tm", "Zr", "Zr", "Dy", "Dy", "Dy", "Dy", "Dy", "Dy"], "fractional_positions": [[0.625, 0.284, 0.271], [0.419, 0.871, 0.151], [0.226, 0.485, 0.572], [0.818, 0.669, 0.850], [0.415, 0.864, 0.666], [0.819, 0.670, 0.368], [0.024, 0.081, 0.460], [0.225, 0.484, 0.053], [0.629, 0.290, 0.756], [0.020, 0.073, 0.962]]}